VASP calculation (GGA-PBE) on a geometry-optimized ZnCu2Hg structure.

The structure belongs to space group R3m (No. 160, hexagonal axes); the cell edges are 2.8496, 2.8496 and 27.2792 Å and the angles 90.00°, 90.00° and 120.00°. The asymmetric unit holds Zn at (0.0000, 0.0000, 0.0000), Cu at (0.0000, 0.0000, 0.4774), Cu at (0.0000, 0.0000, 0.7402) and Hg at (0.0000, 0.0000, 0.2305).

The value obtained for the formation energy is 72 kJ/mol of formula units. The final energy is -2.254 eV per atom. Its total moment is 0.000 μB/atom.